1.
Below is a relaxed structure of NaOs2Rh, with properties calculated at the GGA-PBEsol level.

The structure in extended XYZ format:
```
4
Lattice="4.3227 0.0000 0.0000 2.1614 3.7436 0.0000 2.1614 1.2479 3.5295" Properties=species:S:1:pos:R:3 pbc="T T T"
Rh 4.3227 2.4957 1.7648
Na 0.0000 0.0000 0.0000
Os 6.4841 3.7436 2.6471
Os 2.1614 1.2479 0.8824
```

space group	Fm-3m, No. 225
size of the total moment	0.405	μB/f.u.
uncorrected energy	-29.3	eV per cell
energy of formation	1.17	eV per atom

2.
Below is a relaxed structure of Na2OsRu, with properties calculated at the GGA-PBEsol level.

The structure in extended XYZ format:
```
4
Lattice="4.5448 0.0000 0.0000 2.2724 3.9359 0.0000 2.2724 1.3120 3.7108" Properties=species:S:1:pos:R:3 pbc="T T T"
Na 2.2724 1.3120 0.9277
Na 6.8173 3.9359 2.7831
Ru 0.0000 0.0000 0.0000
Os 4.5448 2.6240 1.8554
```

space group	Fm-3m, No. 225
size of the total moment	3.378	μB/f.u.
uncorrected energy	-17.8	eV per cell
energy of formation	1.86	eV per atom